Density functional theory data (PBE-GGA) for a geometry-optimized IrOs2Br structure.

Calculated values
- DOS at the Fermi energy: 0.86 states/eV/atom
- Formation energy (no corrections): 1062 meV/atom
- Total magnetic moment: 0.00 μB/f.u.
- Crystal system: orthorhombic

a b c (Å): 6.0118 6.0118 6.0118
angles (deg): 153.36 136.66 51.60
Last column: nearest neighbours and their distance in Å.
Fractional coordinates of all 4 atoms:
Ir1 0.2167 0.7167 0.5000  6 Os 2.72-2.86, 2 Ir 2.77
Os1 0.9860 0.9860 0.0000  4 Os 2.59-2.77, 4 Br 2.63, 2 Ir 2.86
Os2 0.7840 0.2840 0.5000  4 Os 2.59-2.77, 4 Ir 2.72
Br1 0.5134 0.5134 0.0000  4 Os 2.63, 2 Br 2.77



Density functional theory data (PBE-GGA) for a geometry-optimized IrOs2Br structure.

Calculated values
- DOS at the Fermi energy: 1.37 states/eV/atom
- Formation energy (no corrections): 730 meV/atom
- Total magnetic moment: 0.47 μB/f.u.
- Crystal system: trigonal

a b c (Å): 9.8153 9.8153 9.8153
angles (deg): 16.45 16.45 16.45
Last column: nearest neighbours and their distance in Å.
Fractional coordinates of all 4 atoms:
Ir1 0.7375 0.7375 0.7375  3 Os 2.70, 6 Ir 2.81
Os1 0.9964 0.9964 0.9964  9 Os 2.63-2.81, 3 Ir 2.70
Os2 0.2585 0.2585 0.2585  9 Os 2.63-2.81, 3 Br 2.94
Br1 0.5076 0.5076 0.5076  6 Br 2.81, 3 Os 2.94



Density functional theory data (PBE-GGA) for a geometry-optimized IrOsBr3 structure.

Calculated values
- DOS at the Fermi energy: 2.54 states/eV/atom
- Formation energy (no corrections): 1522 meV/atom
- Total magnetic moment: 4.53 μB/f.u.
- Crystal system: cubic

a b c (Å): 5.0604 5.0604 5.0604
angles (deg): 90.00 90.00 90.00
Last column: nearest neighbours and their distance in Å.
Fractional coordinates of all 5 atoms:
Ir1 0.0000 0.0000 0.0000  6 Br 2.53
Os1 0.5000 0.5000 0.5000  12 Br 3.58
Br1 0.0000 0.5000 0.0000  2 Ir 2.53
Br2 0.0000 0.0000 0.5000  2 Ir 2.53
Br3 0.5000 0.0000 0.0000  2 Ir 2.53



Density functional theory data (PBE-GGA) for a geometry-optimized IrOs2Br structure.

Calculated values
- DOS at the Fermi energy: 0.96 states/eV/atom
- Formation energy (no corrections): 1553 meV/atom
- Total magnetic moment: 0.00 μB/f.u.
- Crystal system: tetragonal

a b c (Å): 3.8571 4.0126 4.0126
angles (deg): 90.00 90.00 90.00
Last column: nearest neighbours and their distance in Å.
Fractional coordinates of all 4 atoms:
Ir1 0.5000 0.0000 0.5000  8 Os 2.78, 4 Br 2.84
Os1 0.0000 0.0000 0.0000  4 Br 2.78, 4 Ir 2.78, 4 Os 2.84
Os2 0.0000 0.5000 0.5000  4 Br 2.78, 4 Ir 2.78, 4 Os 2.84
Br1 0.5000 0.5000 0.0000  8 Os 2.78, 4 Ir 2.84



Density functional theory data (PBE-GGA) for a geometry-optimized IrOs2Br structure.

Calculated values
- DOS at the Fermi energy: 0.86 states/eV/atom
- Formation energy (no corrections): 791 meV/atom
- Total magnetic moment: 0.00 μB/f.u.
- Crystal system: tetragonal

a b c (Å): 2.8288 2.8288 8.2279
angles (deg): 90.00 90.00 90.00
Last column: nearest neighbours and their distance in Å.
Fractional coordinates of all 4 atoms:
Ir1 0.5000 0.5000 0.7903  4 Os 2.72, 4 Ir 2.83
Os1 0.0000 0.0000 0.0148  8 Os 2.64-2.83, 4 Ir 2.72
Os2 0.5000 0.5000 0.2246  8 Os 2.64-2.83, 4 Br 2.84
Br1 0.0000 0.0000 0.4703  4 Br 2.83, 4 Os 2.84



Density functional theory data (PBE-GGA) for a geometry-optimized IrOs2Br structure.

Calculated values
- DOS at the Fermi energy: 1.38 states/eV/atom
- Formation energy (no corrections): 960 meV/atom
- Total magnetic moment: 0.72 μB/f.u.
- Crystal system: orthorhombic

a b c (Å): 2.7350 2.7350 11.5565
angles (deg): 90.00 90.00 119.95
Last column: nearest neighbours and their distance in Å.
Fractional coordinates of all 4 atoms:
Ir1 0.5000 0.5000 0.8045  2 Os 2.67, 6 Ir 2.74
Os1 0.0000 0.0000 0.0027  8 Os 2.60-2.74, 2 Ir 2.67
Os2 0.5000 0.5000 0.1943  8 Os 2.60-2.74
Br1 0.0000 0.0000 0.4985  6 Br 2.74



Density functional theory data (PBE-GGA) for a geometry-optimized IrOs2Br structure.

Calculated values
- DOS at the Fermi energy: 1.32 states/eV/atom
- Formation energy (no corrections): 1034 meV/atom
- Total magnetic moment: 0.00 μB/f.u.
- Crystal system: tetragonal

a b c (Å): 2.8288 2.8288 7.8309
angles (deg): 90.00 90.00 90.00
Last column: nearest neighbours and their distance in Å.
Fractional coordinates of all 4 atoms:
Ir1 0.5000 0.5000 0.7500  8 Os 2.72, 4 Ir 2.83
Os1 0.0000 0.0000 0.9846  4 Ir 2.72, 4 Os 2.83, 4 Br 2.88
Os2 0.0000 0.0000 0.5154  4 Ir 2.72, 4 Os 2.83, 4 Br 2.88
Br1 0.5000 0.5000 0.2500  4 Br 2.83, 8 Os 2.88



Density functional theory data (PBE-GGA) for a geometry-optimized Pm8Ir3OsBr4 structure.

Calculated values
- DOS at the Fermi energy: 0.33 states/eV/atom
- Formation energy (no corrections): -995 meV/atom
- Total magnetic moment: 0.00 μB/f.u.
- Crystal system: trigonal

a b c (Å): 8.2509 9.1115 8.2509
angles (deg): 116.95 120.00 90.00
Last column: nearest neighbours and their distance in Å.
Fractional coordinates of all 16 atoms:
Pm1 0.2298 0.6953 0.9658  1 Os 2.80, 2 Ir 2.84
Pm2 0.2298 0.6954 0.4596  1 Os 2.80, 2 Ir 2.84
Pm3 0.2689 0.3071 0.5379  3 Ir 2.81
Pm4 0.7361 0.6953 0.9658  1 Os 2.80, 2 Ir 2.84
Pm5 0.2639 0.3047 0.0342  1 Os 2.80, 2 Ir 2.84
Pm6 0.7311 0.6929 0.4621  3 Ir 2.81
Pm7 0.7702 0.3046 0.5404  1 Os 2.80, 2 Ir 2.84
Pm8 0.7702 0.3047 0.0342  1 Os 2.80, 2 Ir 2.84
Ir1 0.5000 0.5000 0.0000  6 Pm 2.81-2.84
Ir2 0.5000 0.5000 0.5000  6 Pm 2.81-2.84
Ir3 0.0000 0.5000 0.5000  6 Pm 2.81-2.84
Os1 0.0000 0.5000 0.0000  6 Pm 2.80
Br1 0.5000 0.0000 0.0000  6 Pm 3.38
Br2 0.5000 0.0000 0.5000  6 Pm 3.34-3.37
Br3 0.0000 0.0000 0.0000  6 Pm 3.35-3.37
Br4 0.0000 0.0000 0.5000  6 Pm 3.34-3.37



Density functional theory data (PBE-GGA) for a geometry-optimized Pr8Ir3OsBr4 structure.

Calculated values
- DOS at the Fermi energy: 0.31 states/eV/atom
- Formation energy (no corrections): -978 meV/atom
- Total magnetic moment: 0.00 μB/f.u.
- Crystal system: trigonal

a b c (Å): 8.3617 9.2321 8.3614
angles (deg): 116.95 120.00 90.00
Last column: nearest neighbours and their distance in Å.
Fractional coordinates of all 16 atoms:
Pr1 0.2300 0.6963 0.9664  1 Os 2.84, 2 Ir 2.88
Pr2 0.2300 0.6963 0.4601  1 Os 2.84, 2 Ir 2.88
Pr3 0.2687 0.3062 0.5375  3 Ir 2.85-2.86
Pr4 0.7364 0.6963 0.9664  1 Os 2.84, 2 Ir 2.88
Pr5 0.2636 0.3037 0.0336  1 Os 2.84, 2 Ir 2.88
Pr6 0.7313 0.6938 0.4625  3 Ir 2.85-2.86
Pr7 0.7700 0.3037 0.5399  1 Os 2.84, 2 Ir 2.88
Pr8 0.7700 0.3037 0.0336  1 Os 2.84, 2 Ir 2.88
Ir1 0.5000 0.5000 0.0000  6 Pr 2.85-2.88
Ir2 0.5000 0.5000 0.5000  6 Pr 2.86-2.88
Ir3 0.0000 0.5000 0.5000  6 Pr 2.86-2.88
Os1 0.0000 0.5000 0.0000  6 Pr 2.84
Br1 0.5000 0.0000 0.0000  6 Pr 3.42
Br2 0.5000 0.0000 0.5000  6 Pr 3.38-3.41
Br3 0.0000 0.0000 0.0000  6 Pr 3.39-3.41
Br4 0.0000 0.0000 0.5000  6 Pr 3.38-3.41



Density functional theory data (PBE-GGA) for a geometry-optimized Pr6Ir2OsBr3 structure.

Calculated values
- DOS at the Fermi energy: 0.37 states/eV/atom
- Formation energy (no corrections): -941 meV/atom
- Total magnetic moment: 0.00 μB/f.u.
- Crystal system: monoclinic

a b c (Å): 7.2387 7.2387 8.2244
angles (deg): 98.43 98.43 120.01
Last column: nearest neighbours and their distance in Å.
Fractional coordinates of all 12 atoms:
Pr1 0.9347 0.6058 0.8041  1 Os 2.84, 2 Ir 2.88
Pr2 0.7364 0.7364 0.1962  1 Os 2.84, 2 Ir 2.88
Pr3 0.0653 0.3942 0.1959  1 Os 2.84, 2 Ir 2.88
Pr4 0.6058 0.9347 0.8041  1 Os 2.84, 2 Ir 2.88
Pr5 0.2636 0.2636 0.8038  1 Os 2.84, 2 Ir 2.88
Pr6 0.3942 0.0653 0.1959  1 Os 2.84, 2 Ir 2.88
Ir1 0.3333 0.6667 0.0000  6 Pr 2.88
Ir2 0.6667 0.3333 0.0000  6 Pr 2.88
Os1 0.0000 0.0000 0.0000  6 Pr 2.84
Br1 0.1652 0.8348 0.5000  6 Pr 3.37-3.43
Br2 0.8348 0.1652 0.5000  6 Pr 3.37-3.43
Br3 0.5000 0.5000 0.5000  6 Pr 3.39-3.42



Density functional theory data (PBE-GGA) for a geometry-optimized Rb2IrOsBr6 structure.

Calculated values
- DOS at the Fermi energy: 0.91 states/eV/atom
- Formation energy (no corrections): -376 meV/atom
- Total magnetic moment: 2.43 μB/f.u.
- Crystal system: tetragonal

a b c (Å): 7.4244 7.4244 7.4170
angles (deg): 59.97 59.97 90.00
Last column: nearest neighbours and their distance in Å.
Fractional coordinates of all 10 atoms:
Ir1 0.0000 0.0000 0.0000  6 Br 2.63-2.64
Os1 0.5000 0.5000 0.0000  6 Br 2.61
Br1 0.2509 0.2509 0.4983  1 Os 2.61, 1 Ir 2.63
Br2 0.7491 0.7491 0.5017  1 Os 2.61, 1 Ir 2.63
Br3 0.2510 0.2510 0.0000  1 Os 2.61, 1 Ir 2.64
Br4 0.7490 0.7490 0.0000  1 Os 2.61, 1 Ir 2.64
Br5 0.7490 0.2510 0.0000  1 Os 2.61, 1 Ir 2.64
Br6 0.2510 0.7490 0.0000  1 Os 2.61, 1 Ir 2.64
Rb1 0.7500 0.2500 0.5000  12 Br 3.71
Rb2 0.2500 0.7500 0.5000  12 Br 3.71



Density functional theory data (PBE-GGA) for a geometry-optimized SiIr2OsBr structure.

Calculated values
- DOS at the Fermi energy: 1.57 states/eV/atom
- Formation energy (no corrections): 2361 meV/atom
- Total magnetic moment: 1.51 μB/f.u.
- Crystal system: tetragonal

a b c (Å): 4.5644 4.5889 4.5644
angles (deg): 90.00 90.00 90.00
Last column: nearest neighbours and their distance in Å.
Fractional coordinates of all 5 atoms:
Si1 0.0000 0.5000 0.0000  2 Br 2.29
Ir1 0.0000 0.0000 0.5000  2 Br 2.28
Ir2 0.5000 0.0000 0.0000  2 Br 2.28
Os1 0.5000 0.5000 0.5000  4 Si 3.23, 8 Ir 3.24
Br1 0.0000 0.0000 0.0000  4 Ir 2.28, 2 Si 2.29